Entry 1:
Material: ZnSiBr2
Method: DFT, PBE-GGA
State: relaxed

extended XYZ file:
```
4
Lattice="3.297 0.000 0.000 0.000 3.880 0.000 -0.023 0.000 8.221" Properties=species:S:1:pos:R:3 pbc="T T T"
Zn 0.000 0.000 0.000
Si -0.011 0.000 4.110
Br 0.006 1.940 5.981
Br 3.268 1.940 2.239
```

Properties
energy relative to the elements, uncorrected	0.142	eV per atom
D(E_F)	0.213	states/eV per atom
symmetry	P2/m, No. 10
theoretical density	4.0	g/cm3
E	-2.37	eV/atom
polymorph energy (0 for the lowest one)	302	meV/atom
M_tot	0.00	μB/f.u.

***

Entry 2:
Material: LiLaH6Ir
Method: DFT, PBE-GGA
State: relaxed

extended XYZ file:
```
9
Lattice="4.667 0.000 0.000 -2.334 4.042 0.000 0.000 0.000 4.475" Properties=species:S:1:pos:R:3 pbc="T T T"
Li 0.000 0.000 0.000
La 2.334 1.347 2.238
H 0.000 1.452 1.163
H 0.000 1.452 3.312
H -1.076 3.316 1.163
H -1.076 3.316 3.312
H 1.076 3.316 1.163
H 1.076 3.316 3.312
Ir 0.000 2.695 0.000
```

Properties
D(E_F)	0.216	states/eV per atom
symmetry	P-6m2, No. 187
theoretical density	6.8	g/cm3
E	-4.45	eV/atom
M_tot	0.00	μB/f.u.

***

Entry 3:
Material: VBi2Au
Method: DFT, PBE-GGA
State: relaxed

extended XYZ file:
```
8
Lattice="-2.374 2.374 9.411 2.374 -2.374 9.411 2.374 2.374 -9.411" Properties=species:S:1:pos:R:3 pbc="T T T"
V 0.000 0.000 0.000
V 0.000 2.374 4.706
Bi 3.561 1.156 -2.353
Bi 1.156 1.187 2.353
Bi -1.187 1.218 7.058
Bi 1.218 1.187 11.764
Au 2.374 0.000 4.706
Au 0.000 0.000 9.411
```

Properties
D(E_F)	0.689	states/eV per atom
symmetry	I-42d, No. 122
energy relative to the elements	0.417	eV per atom
theoretical density	10.4	g/cm3
E	-4.62	eV/atom
M_tot	2.99	μB/f.u.

***

Question: Number 2 is which compound?
Answer: LiLaH6Ir